Entry from Alexandria: a PBEsol-optimized structure of AlTcPb2 (SCAN).

a = 3.2721 Å, b = 3.2721 Å, c = 7.9949 Å
α = 90.00°, β = 90.00°, γ = 90.00°
Element x y z (fractional)
Al 0.0000 0.0000 0.0000
Tc 0.0000 0.0000 0.5000
Pb 0.5000 0.5000 0.2873
Pb 0.5000 0.5000 0.7127

Values from the calculation:
ΔH_f (0 K): 0.61 eV/atom

Entry from Alexandria: a PBEsol-optimized structure of YTa2Cl (SCAN).

a = 8.8982 Å, b = 8.8982 Å, c = 8.8982 Å
α = 21.47°, β = 21.47°, γ = 21.47°
Element x y z (fractional)
Y 0.0000 0.0000 0.0000
Ta 0.2387 0.2387 0.2387
Ta 0.5018 0.5018 0.5018
Cl 0.7476 0.7476 0.7476

Values from the calculation:
Distance to the lowest polymorph of the same formula: 0 meV/atom

Entry from Alexandria: a PBEsol-optimized structure of NaZr2SnP (SCAN).

a = 4.9517 Å, b = 4.9517 Å, c = 4.7389 Å
α = 90.00°, β = 90.00°, γ = 90.00°
Element x y z (fractional)
Na 0.0000 0.0000 0.0000
Zr 0.0000 0.5000 0.0000
Zr 0.5000 0.0000 0.0000
Sn 0.0000 0.0000 0.5000
P 0.5000 0.5000 0.5000

Values from the calculation:
ΔH_f (0 K): 1.33 eV/atom

Entry from Alexandria: a PBEsol-optimized structure of AgPb2 (SCAN).

a = 5.8508 Å, b = 5.8508 Å, c = 8.2451 Å
α = 99.57°, β = 99.57°, γ = 33.35°
Element x y z (fractional)
Ag 0.0000 0.0000 0.0000
Ag 0.6536 0.6536 0.2164
Pb 0.1410 0.1410 0.5120
Pb 0.3848 0.3848 0.2576
Pb 0.4286 0.4286 0.6883
Pb 0.7246 0.7246 0.8902

Values from the calculation:
ΔH_f (0 K): 0.09 eV/atom

Entry from Alexandria: a PBEsol-optimized structure of MgTl2Ge2 (SCAN).

a = 7.4640 Å, b = 7.4640 Å, c = 7.4640 Å
α = 146.41°, β = 146.41°, γ = 48.24°
Element x y z (fractional)
Mg 0.0000 0.0000 0.0000
Tl 0.2500 0.7500 0.5000
Tl 0.7500 0.2500 0.5000
Ge 0.4109 0.4109 0.0000
Ge 0.5891 0.5891 0.0000

Values from the calculation:
ΔH_f (0 K): 0.30 eV/atom

Entry from Alexandria: a PBEsol-optimized structure of WSCl2F (SCAN).

a = 4.6335 Å, b = 4.6335 Å, c = 4.5278 Å
α = 90.00°, β = 90.00°, γ = 90.00°
Element x y z (fractional)
W 0.0000 0.0000 0.0000
S 0.0000 0.0000 0.5000
Cl 0.0000 0.5000 0.0000
Cl 0.5000 0.0000 0.0000
F 0.5000 0.5000 0.5000

Values from the calculation:
Total energy: -20.091 eV/atom

Entry from Alexandria: a PBEsol-optimized structure of Na2IrPtAu (SCAN).

a = 4.8102 Å, b = 4.8102 Å, c = 5.0292 Å
α = 90.00°, β = 90.00°, γ = 90.00°
Element x y z (fractional)
Na 0.0000 0.5000 0.0000
Na 0.5000 0.0000 0.0000
Ir 0.0000 0.0000 0.5000
Pt 0.5000 0.5000 0.5000
Au 0.5000 0.5000 0.0000

Values from the calculation:
ΔH_f (0 K): 1.16 eV/atom

Entry from Alexandria: a PBEsol-optimized structure of LaMg2In (SCAN).

a = 4.6474 Å, b = 4.6474 Å, c = 4.8834 Å
α = 90.00°, β = 90.00°, γ = 90.00°
Element x y z (fractional)
La 0.0000 0.0000 0.0000
Mg 0.0000 0.5000 0.5000
Mg 0.5000 0.0000 0.5000
In 0.5000 0.5000 0.0000

Values from the calculation:
ΔH_f (0 K): -0.34 eV/atom